The following is a DFT calculation (PBE-GGA) of a geometry-optimized LiNdSeI structure.

E_tot: -17.15 eV per cell
Fermi-level density of states: 1.9 states/eV/f.u.
Total moment: 0.00 μB per formula unit
E_form (uncorrected): -1357 meV/atom

Unit cell a=4.142 b=4.142 c=7.915 alpha=74.83 beta=74.83 gamma=60.00
Fractional positions:
Li: 0.138 0.138 0.587
Nd: 0.592 0.592 0.224
Se: 0.845 0.845 0.464
I: 0.354 0.354 0.937

---

The following is a DFT calculation (PBE-GGA) of a geometry-optimized Li2NdTlI6 structure.

E_tot: -31.72 eV per cell
Fermi-level density of states: 0.0 states/eV/f.u.
Total moment: 0.00 μB per formula unit
E_form (uncorrected): -1146 meV/atom

Unit cell a=7.932 b=7.931 c=8.550 alpha=62.35 beta=62.35 gamma=59.99
Fractional positions:
Li: 0.509 0.510 0.472
Li: 0.005 0.006 0.983
Nd: 0.322 0.322 0.034
Tl: 0.808 0.808 0.575
I: 0.605 0.256 0.235
I: 0.257 0.903 0.235
I: 0.903 0.605 0.235
I: 0.350 0.745 0.748
I: 0.745 0.156 0.748
I: 0.156 0.350 0.748

---

The following is a DFT calculation (PBE-GGA) of a geometry-optimized Li2NiI6 structure.

E_tot: -46.59 eV per cell
Fermi-level density of states: 0.3 states/eV/f.u.
Total moment: 0.00 μB per formula unit
E_form (uncorrected): -487 meV/atom

Unit cell a=7.182 b=7.401 c=11.326 alpha=90.00 beta=89.93 gamma=90.00
Fractional positions:
Li: 0.998 0.509 0.818
Li: 0.502 0.009 0.682
Li: 0.498 0.991 0.318
Li: 0.002 0.491 0.182
Ni: 0.500 0.500 0.000
Ni: 0.000 0.000 0.500
I: 0.870 0.836 0.307
I: 0.812 0.769 0.634
I: 0.790 0.712 0.004
I: 0.710 0.212 0.496
I: 0.688 0.269 0.866
I: 0.630 0.336 0.193
I: 0.130 0.164 0.693
I: 0.188 0.231 0.366
I: 0.210 0.288 0.996
I: 0.290 0.788 0.504
I: 0.312 0.731 0.134
I: 0.370 0.664 0.807

---

The following is a DFT calculation (PBE-GGA) of a geometry-optimized Li3NiI structure.

E_tot: -11.76 eV per cell
ΔE to the lowest computed polymorph: 0.324 eV per atom
Fermi-level density of states: 4.4 states/eV/f.u.
Total moment: 0.09 μB per formula unit
E_form (uncorrected): 263 meV/atom

Unit cell a=5.085 b=5.085 c=5.085 alpha=90.00 beta=90.00 gamma=90.00
Each line ends with the local moment (μB).
Fractional positions:
I: 0.000 0.000 0.000  -0.02
Ni: 0.500 0.500 0.500  0.59
Li: 0.000 0.500 0.000  -0.01
Li: 0.000 0.000 0.500  -0.01
Li: 0.500 0.000 0.000  -0.01

---

Copy entry 1 word for word.
The following is a DFT calculation (PBE-GGA) of a geometry-optimized LiNdSeI structure.

E_tot: -17.15 eV per cell
Fermi-level density of states: 1.9 states/eV/f.u.
Total moment: 0.00 μB per formula unit
E_form (uncorrected): -1357 meV/atom

Unit cell a=4.142 b=4.142 c=7.915 alpha=74.83 beta=74.83 gamma=60.00
Fractional positions:
Li: 0.138 0.138 0.587
Nd: 0.592 0.592 0.224
Se: 0.845 0.845 0.464
I: 0.354 0.354 0.937